Material: BaNb2Ru2
Method: DFT, PBE
State: relaxed

## Properties
- VASP energy: -8.06 eV/atom
- Calculated formation energy: 0.065 eV per atom

```
5
Lattice="-2.207 2.207 5.888 2.207 -2.207 5.888 2.207 2.207 -5.888" Properties=species:S:1:pos:R:3 pbc="T T T"
Ba 0.000 0.000 0.000
Nb 2.207 0.000 2.944
Nb 0.000 2.207 2.944
Ru 0.000 0.000 4.312
Ru 0.000 0.000 7.464
```